Here is MnTlF3 after structural relaxation from the Alexandria database. Energies are from GGA+U. Values from VASP.

```
&SYSTEM
  ibrav = 0, nat = 10, ntyp = 3
/
ATOMIC_SPECIES
Mn 54.94 Mn.upf
Tl 204.38 Tl.upf
F 19.00 F.upf
CELL_PARAMETERS angstrom
-2.563 2.563 6.656
2.563 -2.563 6.656
2.563 2.563 -6.656
ATOMIC_POSITIONS crystal
Mn 0.000 0.000 0.000
Mn 0.750 0.250 0.500
Tl 0.132 0.632 0.500
Tl 0.368 0.868 0.500
F 0.294 0.294 0.000
F 0.373 0.111 0.262
F 0.706 0.706 0.000
F 0.849 0.111 0.738
F 0.889 0.151 0.262
F 0.889 0.627 0.738
```

total DFT energy (no corrections)	-5.12	eV per atom
SG	I-4m2 (119)
size of the total moment	5.00	μB per formula unit
Fermi-level density of states	0.000	states/eV per atom